First-principles (PBE-GGA) data for Hf3ThSc6 after structural relaxation, as listed in Alexandria via LeMat-Bulk.

Size of the total moment   0.00 Bohr magnetons per cell
Calculated total energy   -7.222 eV per atom
Volume   24.988 Å³/atom
Crystal system   orthorhombic
Energy of formation from the pure elements   3.1 eV/f.u.

The structure in CIF format:
```
data_Hf3ThSc6
_chemical_formula_sum 'Hf12 Th4 Sc24'
_cell_length_a 12.454
_cell_length_b 12.816
_cell_length_c 6.262
_cell_angle_alpha 90.00
_cell_angle_beta 90.00
_cell_angle_gamma 90.00
_symmetry_space_group_name_H-M 'C m c 21'
_symmetry_Int_Tables_number 36
_symmetry_space_group_name_Hall 'C 2c -2'
loop_
_atom_site_label
_atom_site_type_symbol
_atom_site_fract_x
_atom_site_fract_y
_atom_site_fract_z
Hf1 Hf 0.000 0.094 0.000
Hf2 Hf 0.204 0.470 0.246
Th1 Th 0.000 0.297 0.764
Sc1 Sc 0.000 0.291 0.257
Sc2 Sc 0.000 0.499 0.002
Sc3 Sc 0.117 0.103 0.476
Sc4 Sc 0.226 0.205 0.061
```



First-principles (PBE-GGA) data for Sc8TcSn2 after structural relaxation, as listed in Alexandria via LeMat-Bulk.

Size of the total moment   2.62 Bohr magnetons per cell
Calculated total energy   -6.653 eV per atom
Volume   22.451 Å³/atom
Crystal system   orthorhombic
Energy of formation from the pure elements   -4.2 eV/f.u.

The structure in CIF format:
```
data_Sc8TcSn2
_chemical_formula_sum 'Sc16 Tc2 Sn4'
_cell_length_a 5.088
_cell_length_b 6.584
_cell_length_c 14.746
_cell_angle_alpha 90.00
_cell_angle_beta 90.00
_cell_angle_gamma 90.00
_symmetry_space_group_name_H-M 'I m m m'
_symmetry_Int_Tables_number 71
_symmetry_space_group_name_Hall '-I 2 2'
loop_
_atom_site_label
_atom_site_type_symbol
_atom_site_fract_x
_atom_site_fract_y
_atom_site_fract_z
Sc1 Sc 0.000 0.000 0.184
Sc2 Sc 0.000 0.237 0.373
Sc3 Sc 0.000 0.243 0.000
Tc1 Tc 0.000 0.500 0.500
Sn1 Sn 0.000 0.500 0.187
```



First-principles (PBE-GGA) data for Rb3LiTl2F9 after structural relaxation, as listed in Alexandria via LeMat-Bulk.

Size of the total moment   0.00 Bohr magnetons per cell
Calculated total energy   -4.113 eV per atom
Volume   17.791 Å³/atom
Crystal system   trigonal
Formation energy (no corrections)   -2.354 eV/atom

The structure in CIF format:
```
data_Rb3LiTl2F9
_chemical_formula_sum 'Rb3 Li1 Tl2 F9'
_cell_length_a 6.2846
_cell_length_b 6.2846
_cell_length_c 7.8020
_cell_angle_alpha 90.00
_cell_angle_beta 90.00
_cell_angle_gamma 120.00
_symmetry_space_group_name_H-M 'P -3 m 1'
_symmetry_Int_Tables_number 164
_symmetry_space_group_name_Hall '-P 3 2"'
loop_
_atom_site_label
_atom_site_type_symbol
_atom_site_fract_x
_atom_site_fract_y
_atom_site_fract_z
Rb1 Rb 0.0000 0.0000 0.0000
Rb2 Rb 0.3333 0.6667 0.6531
Li1 Li 0.0000 0.0000 0.5000
Tl1 Tl 0.3333 0.6667 0.1844
F1 F 0.0000 0.5000 0.0000
F2 F 0.1604 0.3207 0.3408
```



First-principles (PBE-GGA) data for Pm12DyEr7 after structural relaxation, as listed in Alexandria via LeMat-Bulk.

Size of the total moment   0.00 Bohr magnetons per cell
Calculated total energy   -4.431 eV per atom
Volume   34.153 Å³/atom
Crystal system   trigonal
Energy above the most stable polymorph in this dataset   0.019 eV per atom
Energy of formation from the pure elements   4.9 eV/f.u.

The structure in CIF format:
```
data_Pm12DyEr7
_chemical_formula_sum 'Pm36 Dy3 Er21'
_cell_length_a 19.5800
_cell_length_b 19.5800
_cell_length_c 6.1720
_cell_angle_alpha 90.00
_cell_angle_beta 90.00
_cell_angle_gamma 120.00
_symmetry_space_group_name_H-M 'R -3'
_symmetry_Int_Tables_number 148
_symmetry_space_group_name_Hall '-R 3'
loop_
_atom_site_label
_atom_site_type_symbol
_atom_site_fract_x
_atom_site_fract_y
_atom_site_fract_z
Pm1 Pm 0.9999 0.4130 0.9998
Pm2 Pm 0.0979 0.5487 0.4634
Dy1 Dy 0.0000 0.0000 0.5000
Er1 Er 0.0000 0.0000 0.0000
Er2 Er 0.0811 0.1626 0.2928
```



First-principles (PBE-GGA) data for Mg2OsAu after structural relaxation, as listed in Alexandria via LeMat-Bulk.

Size of the total moment   0.01 Bohr magnetons per cell
Calculated total energy   -4.418 eV per atom
Volume   16.817 Å³/atom
Crystal system   monoclinic
Energy of formation from the pure elements   0.0 eV/f.u.

The structure in CIF format:
```
data_Mg2OsAu
_chemical_formula_sum 'Mg4 Os2 Au2'
_cell_length_a 10.269
_cell_length_b 2.857
_cell_length_c 4.892
_cell_angle_alpha 90.00
_cell_angle_beta 110.35
_cell_angle_gamma 90.00
_symmetry_space_group_name_H-M 'C 1 m 1'
_symmetry_Int_Tables_number 8
_symmetry_space_group_name_Hall 'C -2y'
loop_
_atom_site_label
_atom_site_type_symbol
_atom_site_fract_x
_atom_site_fract_y
_atom_site_fract_z
Mg1 Mg 0.000 0.000 0.000
Mg2 Mg 0.223 0.000 0.593
Os1 Os 0.244 0.500 0.093
Au1 Au 0.475 0.000 0.493
```



First-principles (PBE-GGA) data for BaCa2BiRh after structural relaxation, as listed in Alexandria via LeMat-Bulk.

Size of the total moment   0.00 Bohr magnetons per cell
Calculated total energy   -3.891 eV per atom
Volume   34.734 Å³/atom
Crystal system   tetragonal
Energy of formation from the pure elements   -2.3 eV/f.u.

The structure in CIF format:
```
data_BaCa2BiRh
_chemical_formula_sum 'Ba1 Ca2 Bi1 Rh1'
_cell_length_a 5.467
_cell_length_b 5.467
_cell_length_c 5.810
_cell_angle_alpha 90.00
_cell_angle_beta 90.00
_cell_angle_gamma 90.00
_symmetry_space_group_name_H-M 'P 4/m m m'
_symmetry_Int_Tables_number 123
_symmetry_space_group_name_Hall '-P 4 2'
loop_
_atom_site_label
_atom_site_type_symbol
_atom_site_fract_x
_atom_site_fract_y
_atom_site_fract_z
Ba1 Ba 0.000 0.000 0.000
Ca1 Ca 0.000 0.500 0.500
Bi1 Bi 0.500 0.500 0.000
Rh1 Rh 0.000 0.000 0.500
```



Q: The highest size of the total moment belongs to which entry?
A: Sc8TcSn2